(1)
Computed, not measured: Tb3HoPb3 after structural relaxation at the PBE level of DFT.

Summary:
Formation enthalpy at 0 K, eV per atom: -0.239
Space-group type: C2/m
Raw total energy, eV/atom: -4.4667

a b c (Å): 7.921 7.921 7.888
angles (deg): 89.59 89.59 113.20
Positions (direct):
Tb 0.632 0.632 0.362
Tb 0.148 0.852 0.500
Tb 0.852 0.148 0.500
Tb 0.222 0.778 0.000
Tb 0.778 0.222 0.000
Tb 0.368 0.368 0.638
Ho 0.702 0.702 0.910
Ho 0.298 0.298 0.090
Pb 0.947 0.947 0.198
Pb 0.844 0.488 0.683
Pb 0.488 0.844 0.683
Pb 0.156 0.512 0.317
Pb 0.512 0.156 0.317
Pb 0.053 0.053 0.802



(2)
Computed, not measured: BaZrOs3 after structural relaxation at the PBE level of DFT.

Summary:
Formation enthalpy at 0 K, eV per atom: 3.118
Space-group type: Pm-3m
Raw total energy, eV/atom: -5.7136

a b c (Å): 4.932 4.932 4.932
angles (deg): 90.00 90.00 90.00
Positions (direct):
Os 0.000 0.500 0.000
Os 0.000 0.000 0.500
Os 0.500 0.000 0.000
Ba 0.000 0.000 0.000
Zr 0.500 0.500 0.500



(3)
Computed, not measured: GaTeI3 after structural relaxation at the PBE level of DFT.

Summary:
Space-group type: Pm-3m
Raw total energy, eV/atom: -1.9772

a b c (Å): 5.748 5.748 5.748
angles (deg): 90.00 90.00 90.00
Each line ends with the local moment (μB).
Positions (direct):
I 0.000 0.500 0.000  0.08
I 0.000 0.000 0.500  0.15
I 0.500 0.000 0.000  0.11
Te 0.500 0.500 0.500  1.15
Ga 0.000 0.000 0.000  -0.03



(4)
Computed, not measured: Sr2SnBiH after structural relaxation at the PBE level of DFT.

Summary:
Space-group type: P4/mmm
Raw total energy, eV/atom: -3.3349

a b c (Å): 5.234 5.234 5.019
angles (deg): 90.00 90.00 90.00
Positions (direct):
Sr 0.000 0.500 0.000
Sr 0.500 0.000 0.000
Bi 0.000 0.000 0.500
H 0.000 0.000 0.000
Sn 0.500 0.500 0.500



(5)
Computed, not measured: La8Cd3Ir2 after structural relaxation at the PBE level of DFT.

Summary:
Formation enthalpy at 0 K, eV per atom: -0.290
Space-group type: C2/m
Raw total energy, eV/atom: -4.8964

a b c (Å): 5.199 8.659 9.902
angles (deg): 115.93 95.48 90.00
Positions (direct):
La 0.254 0.575 0.150
La 0.746 0.425 0.850
La 0.267 0.168 0.336
La 0.733 0.832 0.664
La 0.244 0.110 0.669
La 0.244 0.559 0.669
La 0.756 0.441 0.331
La 0.756 0.890 0.331
Cd 0.500 0.000 0.000
Cd 0.000 0.823 0.000
Cd 0.000 0.177 0.000
Ir 0.851 0.267 0.534
Ir 0.149 0.733 0.466



(6)
Computed, not measured: In4GeRh2 after structural relaxation at the PBE level of DFT.

Summary:
Formation enthalpy at 0 K, eV per atom: 0.344
Space-group type: I4/mmm
Raw total energy, eV/atom: -3.9813

a b c (Å): 5.227 5.227 7.573
angles (deg): 69.81 69.81 90.00
Positions (direct):
Ge 0.000 0.000 0.000
Rh 0.595 0.595 0.810
Rh 0.405 0.405 0.190
In 0.790 0.790 0.419
In 0.210 0.210 0.581
In 0.000 0.500 0.000
In 0.500 0.000 0.000